# CsPdPb2

Crystalline CsPdPb2 at its relaxed geometry (GGA-PBE, the Alexandria database).

Summary:
As for the space group: No. 166. The calculated total energy comes out at -0.1324 Ha/atom. Its total moment is 0.000 μB/atom. As for the density of states at the Fermi level: 2.56 states/eV per cell.

Cell and atoms, written as POSCAR:
```
CsPdPb2
1.0
2.330 1.345 7.581
-2.330 1.345 7.581
0.000 -2.691 7.581
Cs Pd Pb
1 1 2
Cartesian
0.000 0.000 0.000
0.000 0.000 11.371
0.000 0.000 4.780
0.000 0.000 17.963
```